Here is a geometry-optimized In5Ga3Sn3 structure from the Alexandria database. Energies are from PBE.

Cell and atoms, written as POSCAR:
```
In5Ga3Sn3
1.0
10.0556 0.0000 0.0000
-5.0278 8.7084 0.0000
0.0000 0.0000 3.3559
In Ga Sn
5 3 3
Cartesian
-1.6900 2.9272 0.0000
0.0000 5.8056 0.0000
3.3800 0.0000 0.0000
3.3378 5.7812 0.0000
5.0278 2.9028 0.0000
-4.2477 7.3572 0.0000
0.7801 1.3512 0.0000
8.4954 0.0000 0.0000
-3.0742 5.3246 1.6780
1.9536 3.3838 1.6780
6.1483 0.0000 1.6780
```

Calculated values
Energy relative to the elements (eV per atom): 0.11



Here is a geometry-optimized Tb2HoHg structure from the Alexandria database. Energies are from PBE.

Cell and atoms, written as POSCAR:
```
Tb2HoHg
1.0
6.9340 0.0000 0.0000
0.0000 10.1174 0.0000
0.0000 0.0000 6.7430
Tb Ho Hg
8 4 4
Cartesian
1.3872 0.4199 1.2902
1.3872 4.6388 1.2902
2.0798 5.4786 4.6617
2.0798 9.6975 4.6617
4.8542 0.4199 2.0813
4.8542 4.6388 2.0813
5.5468 5.4786 5.4528
5.5468 9.6975 5.4528
0.0286 7.5881 2.6494
3.4384 2.5294 6.0209
3.4956 7.5881 0.7221
6.9054 2.5294 4.0936
0.5843 7.5881 6.4360
2.8827 2.5294 3.0645
4.0513 7.5881 3.6785
6.3497 2.5294 0.3070
```

Calculated values
Distance to the lowest polymorph of the same formula (meV per atom): 23
Energy relative to the elements (eV per atom): -0.20



Here is a geometry-optimized LiIn2Br2 structure from the Alexandria database. Energies are from PBE.

Cell and atoms, written as POSCAR:
```
LiIn2Br2
1.0
7.9299 0.0000 0.0000
0.0000 7.9299 0.0000
0.0000 0.0000 4.7890
Li In Br
2 4 4
Cartesian
0.0000 0.0000 0.0000
3.9649 3.9649 0.0000
1.1126 2.8523 0.0000
2.8523 6.8173 0.0000
5.0776 1.1126 0.0000
6.8173 5.0776 0.0000
1.4259 5.3909 2.3945
2.5390 1.4259 2.3945
5.3909 6.5040 2.3945
6.5040 2.5390 2.3945
```

Calculated values
Distance to the lowest polymorph of the same formula (meV per atom): 0
Formation energy (no corrections) (eV/f.u.): -2.0



Here is a geometry-optimized LiZn2Te structure from the Alexandria database. Energies are from PBE.

Cell and atoms, written as POSCAR:
```
LiZn2Te
1.0
8.3122 0.0000 0.0000
0.0000 4.1340 0.0000
-0.5298 0.0000 5.2233
Li Zn Te
2 4 2
Cartesian
0.0000 0.0000 0.0000
4.1561 2.0670 0.0000
1.8869 2.0670 2.2111
3.5678 0.0000 1.7856
6.0431 0.0000 2.2111
7.7239 2.0670 1.7856
2.0186 0.0000 4.2232
6.1747 2.0670 4.2232
```

Calculated values
Formation energy (no corrections) (eV/f.u.): -0.8



Here is a geometry-optimized BaCr2Re structure from the Alexandria database. Energies are from PBE.

Cell and atoms, written as POSCAR:
```
BaCr2Re
1.0
5.0321 0.0000 0.0000
0.0000 5.0321 0.0000
0.0000 0.0000 3.0626
Ba Cr Re
1 2 1
Cartesian
0.0000 0.0000 0.0000
0.0000 2.5160 1.5313
2.5160 0.0000 1.5313
2.5160 2.5160 0.0000
```

Calculated values
Distance to the lowest polymorph of the same formula (meV per atom): 737
Energy relative to the elements (eV per atom): 1.43



Here is a geometry-optimized Cs2KSn2Se4 structure from the Alexandria database. Energies are from PBE.

Cell and atoms, written as POSCAR:
```
Cs2KSn2Se4
1.0
8.5670 -2.7108 0.0000
8.5670 2.7108 0.0000
-2.3734 0.0000 7.5893
Cs K Sn Se
2 1 2 4
Cartesian
2.0888 0.0000 0.4511
12.6717 0.0000 7.1382
-1.1867 0.0000 3.7946
4.4833 0.0000 3.6335
10.2773 0.0000 3.9558
1.9786 0.0000 4.8964
6.1141 0.0000 5.6417
8.6464 0.0000 1.9476
12.7820 0.0000 2.6929
```

Calculated values
Formation energy (no corrections) (eV/f.u.): -7.6



Here is a geometry-optimized Cd2GaCu2Pt5 structure from the Alexandria database. Energies are from PBE.

Cell and atoms, written as POSCAR:
```
Cd2GaCu2Pt5
1.0
9.1783 0.0000 0.0000
0.0000 9.1783 0.0000
0.0000 0.0000 3.8693
Cd Ga Cu Pt
4 2 4 10
Cartesian
1.5564 3.0327 0.0000
3.0327 7.6219 0.0000
6.1456 1.5564 0.0000
7.6219 6.1456 0.0000
0.0000 0.0000 0.0000
4.5891 4.5891 0.0000
1.1662 5.7553 0.0000
3.4230 1.1662 0.0000
5.7553 8.0121 0.0000
8.0121 3.4230 0.0000
0.0000 4.5891 1.9347
0.7153 7.3771 1.9347
1.8012 0.7153 1.9347
2.7879 5.3045 1.9347
3.8738 2.7879 1.9347
4.5891 0.0000 1.9347
5.3045 6.3904 1.9347
6.3904 3.8738 1.9347
7.3771 8.4630 1.9347
8.4630 1.8012 1.9347
```

Calculated values
Energy relative to the elements (eV per atom): -0.27



Here is a geometry-optimized CePrSc2As4 structure from the Alexandria database. Energies are from PBE.

Cell and atoms, written as POSCAR:
```
CePrSc2As4
1.0
7.0078 0.0000 0.0000
0.0000 4.0869 0.0000
-2.3740 0.0000 6.6743
Ce Pr Sc As
1 1 2 4
Cartesian
0.0000 0.0000 0.0000
-1.1870 2.0435 3.3371
2.3169 0.0000 3.3371
3.5039 2.0435 0.0000
1.3011 2.0435 1.6922
0.1068 0.0000 5.0880
4.5271 0.0000 1.5863
3.3327 2.0435 4.9821
```

Calculated values
Energy relative to the elements (eV per atom): -1.39



Here is a geometry-optimized GaBiSe2Br structure from the Alexandria database. Energies are from PBE.

Cell and atoms, written as POSCAR:
```
GaBiSe2Br
1.0
5.5041 0.0000 0.0000
0.0000 5.5041 0.0000
0.0000 0.0000 5.8061
Ga Bi Se Br
1 1 2 1
Cartesian
0.0000 0.0000 0.0000
2.7521 2.7521 2.9031
0.0000 2.7521 2.9031
2.7521 0.0000 2.9031
2.7521 2.7521 0.0000
```

Calculated values
Distance to the lowest polymorph of the same formula (meV per atom): 43
Formation energy (no corrections) (eV/f.u.): 0.1



Here is a geometry-optimized CdGaSn structure from the Alexandria database. Energies are from PBE.

Cell and atoms, written as POSCAR:
```
CdGaSn
1.0
3.5348 0.0000 0.0000
0.0000 3.5348 0.0000
0.0000 0.0000 23.7068
Cd Ga Sn
4 4 4
Cartesian
0.0000 0.0000 3.4666
0.0000 0.0000 20.2402
1.7674 1.7674 8.3868
1.7674 1.7674 15.3200
0.0000 0.0000 6.6417
0.0000 0.0000 17.0651
1.7674 1.7674 5.2117
1.7674 1.7674 18.4951
0.0000 0.0000 10.3302
0.0000 0.0000 13.3766
1.7674 1.7674 1.5232
1.7674 1.7674 22.1836
```

Calculated values
Distance to the lowest polymorph of the same formula (meV per atom): 80
Energy relative to the elements (eV per atom): 0.11



Here is a geometry-optimized La3Dy5Tm4 structure from the Alexandria database. Energies are from PBE.

Cell and atoms, written as POSCAR:
```
La3Dy5Tm4
1.0
8.8756 -2.8653 0.0000
8.8756 2.8653 0.0000
-3.8802 0.0000 7.8370
La Dy Tm
3 5 4
Cartesian
0.0000 0.0000 0.0000
2.6041 0.0000 6.0553
11.2668 0.0000 1.7817
-0.0669 0.0000 3.4536
-0.5915 0.0000 6.9721
8.8756 0.0000 0.0000
14.4624 0.0000 0.8649
13.9379 0.0000 4.3834
3.8010 0.0000 2.7706
7.0412 0.0000 2.3809
6.8297 0.0000 5.4561
10.0699 0.0000 5.0664
```

Calculated values
Energy relative to the elements (eV per atom): 0.27



Here is a geometry-optimized Tm2HgPb2 structure from the Alexandria database. Energies are from PBE.

Cell and atoms, written as POSCAR:
```
Tm2HgPb2
1.0
5.0512 0.0000 0.0000
-2.5256 4.3745 0.0000
0.0000 0.0000 12.5703
Tm Hg Pb
4 2 4
Cartesian
0.0000 2.9163 1.2719
0.0000 2.9163 5.0132
2.5256 1.4582 7.5570
2.5256 1.4582 11.2984
0.0000 0.0000 3.1426
0.0000 0.0000 9.4277
0.0000 0.0000 0.0000
0.0000 0.0000 6.2851
0.0000 2.9163 9.4277
2.5256 1.4582 3.1426
```

Calculated values
Distance to the lowest polymorph of the same formula (meV per atom): 59
Energy relative to the elements (eV per atom): -0.24



no.,V (Å³/atom)
1,26.716
2,29.566
3,30.115
4,22.436
5,19.387
6,39.167
7,16.298
8,23.894
9,35.180
10,24.684
11,33.218
12,27.776